YPRh2C (PBE-GGA, relaxed); energy relative to the elements = -0.175 eV/atom; crystal system = tetragonal
1.0
4.014 0.000 0.000
0.000 4.862 0.000
0.000 0.000 4.014
Rh Y C P
2 1 1 1
Cartesian
2.007 0.000 0.000
0.000 0.000 2.007
2.007 2.431 2.007
0.000 0.000 0.000
0.000 2.431 0.000

Pm4POsI2 (PBE-GGA, relaxed); ΔE_f (raw) = -7.48 eV/f.u.; crystal system = monoclinic
1.0
-0.935 -1.983 3.531
2.112 -6.494 -3.088
6.670 3.102 3.509
Pm I Os P
4 2 1 1
Cartesian
6.588 -3.376 2.294
6.016 0.708 1.991
1.259 -1.999 1.657
2.766 -4.100 -1.570
2.867 0.560 3.520
4.391 -1.696 0.210
0.588 -4.239 0.221
0.000 0.000 0.000

TbTm6Mg (PBE-GGA, relaxed); energy relative to the elements = 0.039 eV/atom; energy above the most stable polymorph in this dataset = 0.000 eV per atom; crystal system = orthorhombic
1.0
4.976 0.000 0.000
0.000 6.844 -0.767
0.000 0.774 6.844
Tm Mg Tb
6 1 1
Cartesian
0.000 1.928 1.538
0.000 5.310 1.157
0.000 2.308 4.920
2.488 0.387 3.422
0.000 5.690 4.539
2.488 3.422 -0.384
2.488 0.000 0.000
2.488 3.809 3.038

ScTcPt2 (PBE-GGA, relaxed); energy relative to the elements = -0.560 eV/atom; energy above the most stable polymorph in this dataset = 0.074 eV per atom; crystal system = tetragonal
1.0
4.923 -0.012 -0.004
1.710 4.616 0.004
-3.313 -2.308 2.817
Tc Pt Sc
1 2 1
Cartesian
0.857 2.305 1.411
3.316 2.302 0.000
0.000 0.000 0.000
2.463 -0.009 1.406

SrCaMo2 (PBE-GGA, relaxed); energy relative to the elements = 1.236 eV/atom; energy above the most stable polymorph in this dataset = 0.776 eV per atom; crystal system = trigonal
1.0
10.987 -0.006 -0.004
10.557 3.044 -0.004
10.557 1.488 2.655
Mo Sr Ca
2 1 1
Cartesian
0.080 0.011 0.007
15.970 2.252 1.317
8.025 1.132 0.662
24.076 3.395 1.986

CaSc2Ta (PBE-GGA, relaxed); energy relative to the elements = 0.347 eV/atom; energy above the most stable polymorph in this dataset = 0.131 eV per atom; crystal system = monoclinic
1.0
-0.345 3.997 -3.496
0.631 1.514 -5.062
-5.862 -1.159 -1.817
Sc Ca Ta
2 1 1
Cartesian
-3.038 2.055 -5.152
-5.612 -1.038 -1.852
-1.394 1.088 -2.594
-4.182 3.263 -7.781

Ba2LaDyS4 (PBE-GGA, relaxed); ΔE_f (raw) = -16.32 eV/f.u.; crystal system = monoclinic
1.0
4.215 0.000 0.000
0.000 7.298 0.127
0.000 -2.553 7.114
Ba S Dy La
2 4 1 1
Cartesian
2.108 -1.276 3.557
0.000 2.373 3.621
0.000 -0.175 5.597
2.108 3.626 5.700
2.108 1.120 1.542
0.000 4.921 1.645
0.000 0.000 0.000
2.108 3.649 0.064

LaTb8Tl2 (PBE-GGA, relaxed); energy relative to the elements = -0.007 eV/atom; crystal system = monoclinic
1.0
-0.455 2.945 4.460
-9.500 1.881 -2.883
-9.293 -3.857 0.927
Tb Tl La
8 2 1
Cartesian
-15.386 0.676 1.852
-10.364 -0.374 -0.002
-8.884 1.344 2.505
-6.961 -1.287 1.414
-12.287 2.256 1.090
-12.188 -0.482 2.908
-3.862 0.294 0.652
-7.060 1.452 -0.405
-13.494 -0.687 -0.303
-5.755 1.657 2.807
0.000 0.000 0.000

Repeat the seventh record exactly.
Ba2LaDyS4 (PBE-GGA, relaxed); ΔE_f (raw) = -16.32 eV/f.u.; crystal system = monoclinic
1.0
4.215 0.000 0.000
0.000 7.298 0.127
0.000 -2.553 7.114
Ba S Dy La
2 4 1 1
Cartesian
2.108 -1.276 3.557
0.000 2.373 3.621
0.000 -0.175 5.597
2.108 3.626 5.700
2.108 1.120 1.542
0.000 4.921 1.645
0.000 0.000 0.000
2.108 3.649 0.064